Tc3GeRu | GGA-PBE | relaxed

a = 4.715 Å, b = 4.715 Å, c = 4.715 Å
α = 90.00°, β = 90.00°, γ = 90.00°
Positions (direct):
Tc1 0.000 0.000 0.500
Tc2 0.000 0.500 0.000
Tc3 0.500 0.000 0.000
Ge1 0.500 0.500 0.500
Ru1 0.000 0.000 0.000

Computed properties:
polymorph energy (0 for the lowest one)	0.1981	eV per atom
space-group type	Pm-3m
DFT formation energy	1722.3	meV per atom

=====

TcGeRu3 | GGA-PBE | relaxed

a = 4.683 Å, b = 4.683 Å, c = 4.683 Å
α = 90.00°, β = 90.00°, γ = 90.00°
Positions (direct):
Tc1 0.000 0.000 0.000
Ge1 0.500 0.500 0.500
Ru1 0.000 0.000 0.500
Ru2 0.000 0.500 0.000
Ru3 0.500 0.000 0.000

Computed properties:
polymorph energy (0 for the lowest one)	0.2350	eV per atom
space-group type	Pm-3m
DFT formation energy	1580.9	meV per atom

=====

Tc2Ge6Ru | GGA-PBE | relaxed

a = 7.967 Å, b = 7.967 Å, c = 3.212 Å
α = 101.50°, β = 101.50°, γ = 48.45°
Positions (direct):
Tc1 0.162 0.162 0.163
Tc2 0.838 0.838 0.837
Ge1 0.135 0.531 0.333
Ge2 0.202 0.798 0.000
Ge3 0.469 0.865 0.667
Ge4 0.531 0.135 0.333
Ge5 0.798 0.202 0.000
Ge6 0.865 0.469 0.667
Ru1 0.500 0.500 0.500

Computed properties:
space-group type	C2/m
DFT formation energy	59.6	meV per atom

=====

TcGe4Ru2 | GGA-PBE | relaxed

a = 7.104 Å, b = 7.104 Å, c = 5.705 Å
α = 111.93°, β = 111.93°, γ = 26.17°
Positions (direct):
Tc1 0.000 0.000 0.000
Ge1 0.122 0.122 0.785
Ge2 0.386 0.386 0.682
Ge3 0.614 0.614 0.318
Ge4 0.878 0.878 0.215
Ru1 0.249 0.249 0.255
Ru2 0.751 0.751 0.745

Computed properties:
polymorph energy (0 for the lowest one)	0.0000	eV per atom
space-group type	C2/m
DFT formation energy	-109.5	meV per atom

=====

TcGe3Ru | GGA-PBE | relaxed

a = 4.756 Å, b = 4.756 Å, c = 4.756 Å
α = 90.00°, β = 90.00°, γ = 90.00°
Positions (direct):
Tc1 0.000 0.000 0.000
Ge1 0.000 0.500 0.500
Ge2 0.500 0.000 0.500
Ge3 0.500 0.500 0.000
Ru1 0.500 0.500 0.500

Computed properties:
polymorph energy (0 for the lowest one)	0.0000	eV per atom
space-group type	Pm-3m
DFT formation energy	922.4	meV per atom

=====

TcGeRu3 | GGA-PBE | relaxed

a = 4.455 Å, b = 4.455 Å, c = 4.455 Å
α = 90.00°, β = 90.00°, γ = 90.00°
Positions (direct):
Tc1 0.000 0.000 0.000
Ge1 0.500 0.500 0.500
Ru1 0.000 0.500 0.500
Ru2 0.500 0.000 0.500
Ru3 0.500 0.500 0.000

Computed properties:
polymorph energy (0 for the lowest one)	0.0000	eV per atom
space-group type	Pm-3m
DFT formation energy	1345.9	meV per atom

=====

ThTcGe3Ru | GGA-PBE | relaxed

a = 6.713 Å, b = 6.713 Å, c = 5.907 Å
α = 90.00°, β = 90.00°, γ = 109.08°
Positions (direct):
Th1 0.245 0.755 0.750
Th2 0.755 0.245 0.250
Tc1 0.460 0.540 0.250
Tc2 0.540 0.460 0.750
Ge1 0.247 0.753 0.250
Ge2 0.250 0.250 0.000
Ge3 0.250 0.250 0.500
Ge4 0.750 0.750 0.000
Ge5 0.750 0.750 0.500
Ge6 0.753 0.247 0.750
Ru1 0.033 0.967 0.250
Ru2 0.967 0.033 0.750

Computed properties:
space-group type	Cmcm
DFT formation energy	-158.1	meV per atom

=====

TiTcGeRu | GGA-PBE | relaxed

a = 4.329 Å, b = 4.329 Å, c = 4.329 Å
α = 60.00°, β = 60.00°, γ = 60.00°
Positions (direct):
Ti1 0.000 0.000 0.000
Tc1 0.250 0.250 0.250
Ge1 0.500 0.500 0.500
Ru1 0.750 0.750 0.750

Computed properties:
space-group type	F-43m
DFT formation energy	-532.5	meV per atom

=====

Number 1: E_tot -7.276 eV per atom, DOS at the Fermi energy 6.819 states/eV/cell. Number 2: E_tot -6.981 eV per atom, DOS at the Fermi energy 5.963 states/eV/cell. Number 3: E_tot -6.353 eV per atom, DOS at the Fermi energy 5.956 states/eV/cell. Number 4: E_tot -6.879 eV per atom, DOS at the Fermi energy 3.161 states/eV/cell. Number 5: E_tot -5.776 eV per atom, DOS at the Fermi energy 4.848 states/eV/cell. Number 6: E_tot -7.216 eV per atom, DOS at the Fermi energy 4.664 states/eV/cell. Number 7: E_tot -6.977 eV per atom, DOS at the Fermi energy 7.437 states/eV/cell. Number 8: E_tot -8.571 eV per atom, DOS at the Fermi energy 2.625 states/eV/cell.